No. 1
First-principles (PBE-GGA) data for a relaxed ZrPa2H8 crystal, as listed in Alexandria.

Its energy is -115.50 eV for the cell shown. The calculation puts the volume at 8.705 Å³ per atom.

The space group is Immm (No. 71) and the conventional cell measures 3.232, 6.141 and 9.650 Å, with angles of 90.00, 90.00 and 90.00 degrees. The asymmetric unit holds Zr at (0.000, 0.000, 0.000), Pa at (0.000, 0.000, 0.340), H at (0.000, 0.243, 0.165), H at (0.000, 0.269, 0.500) and H at (0.000, 0.500, 0.332).



No. 2
First-principles (PBE-GGA) data for a relaxed YCdRh crystal, as listed in Alexandria.

Its energy is -15.98 eV for the cell shown. The calculation puts the volume at 21.439 Å³ per atom. Its calculated formation energy is -0.42 eV/atom.

The space group is P3m1 (No. 156) and the conventional cell measures 4.6924, 4.6924 and 3.3729 Å, with angles of 90.00, 90.00 and 120.00 degrees. The asymmetric unit holds Y at (0.0000, 0.0000, 0.0000), Cd at (0.6667, 0.3333, 0.4996) and Rh at (0.3333, 0.6667, 0.5027).



No. 3
First-principles (PBE-GGA) data for a relaxed Ba2HfCuSn crystal, as listed in Alexandria.

Its energy is -18.60 eV for the cell shown. The calculation puts the volume at 48.077 Å³ per atom. Its calculated formation energy is 0.66 eV/atom.

The space group is P4/mmm (No. 123) and the conventional cell measures 6.654, 6.654 and 5.429 Å, with angles of 90.00, 90.00 and 90.00 degrees. The asymmetric unit holds Ba at (0.000, 0.500, 0.000), Hf at (0.000, 0.000, 0.500), Cu at (0.500, 0.500, 0.500) and Sn at (0.000, 0.000, 0.000).



No. 4
First-principles (PBE-GGA) data for a relaxed BaUSeS2 crystal, as listed in Alexandria.

Its energy is -32.97 eV for the cell shown. The calculation puts the volume at 31.054 Å³ per atom. The calculation puts the formation energy from raw total energies at -1.60 eV per atom.

The space group is P4mm (No. 99) and the conventional cell measures 5.251, 5.251 and 5.632 Å, with angles of 90.00, 90.00 and 90.00 degrees. The asymmetric unit holds Ba at (0.000, 0.000, 0.000), U at (0.500, 0.500, 0.396), Se at (0.500, 0.500, 0.891) and S at (0.000, 0.500, 0.362).



No. 5
First-principles (PBE-GGA) data for a relaxed Pu2FeGe crystal, as listed in Alexandria.

Its energy is -41.23 eV for the cell shown. The calculation puts the volume at 15.464 Å³ per atom. Its calculated formation energy is 0.13 eV/atom.

The space group is P4/mmm (No. 123) and the conventional cell measures 3.527, 3.527 and 4.972 Å, with angles of 90.00, 90.00 and 90.00 degrees. The asymmetric unit holds Pu at (0.000, 0.500, 0.000), Fe at (0.000, 0.000, 0.500) and Ge at (0.500, 0.500, 0.500).



No. 6
First-principles (PBE-GGA) data for a relaxed AcPmPb2 crystal, as listed in Alexandria.

Its energy is -18.12 eV for the cell shown. For the energy above the most stable polymorph in this dataset, the calculation gives 24 meV/atom. The calculation puts the volume at 32.774 Å³ per atom. Its calculated formation energy is -0.46 eV/atom.

The space group is P4/mmm (No. 123) and the conventional cell measures 5.301, 5.301 and 4.666 Å, with angles of 90.00, 90.00 and 90.00 degrees. The asymmetric unit holds Ac at (0.000, 0.000, 0.000), Pm at (0.500, 0.500, 0.000) and Pb at (0.000, 0.500, 0.500).



Among the records above, which one has the lowest volume?
ZrPa2H8



Which value of volume does entry 5 give?
15.464 Å³ per atom



energy of number 4 (BaUSeS2)?
-32.97 eV for the cell shown



What is the energy in the sixth record?
-18.12 eV for the cell shown